# 1
## ScNb2Al2 (SCAN)

Data for ScNb2Al2 at its PBEsol-relaxed geometry.

Properties
The magnetization is 1.0 Bohr magnetons per cell. As for the crystal system: tetragonal.

Cell lengths 7.2908, 7.2908, 3.3371 Å; angles 90.00, 90.00, 90.00 degrees
Last column: nearest neighbours and their distance in Å.
Fractional positions:
1 Sc 0.0000 0.0000 0.0000  4 Al 2.89, 8 Nb 3.17
2 Sc 0.5000 0.5000 0.0000  4 Al 2.89, 8 Nb 3.17
3 Nb 0.1735 0.3265 0.5000  6 Al 2.68-2.75
4 Nb 0.3265 0.8265 0.5000  6 Al 2.68-2.75
5 Nb 0.6735 0.1735 0.5000  6 Al 2.68-2.75
6 Nb 0.8265 0.6735 0.5000  6 Al 2.68-2.75
7 Al 0.1229 0.6229 0.0000  1 Al 2.54, 6 Nb 2.68-2.75
8 Al 0.3771 0.1229 0.0000  1 Al 2.54, 6 Nb 2.68-2.75
9 Al 0.6229 0.8771 0.0000  1 Al 2.54, 6 Nb 2.68-2.75
10 Al 0.8771 0.3771 0.0000  1 Al 2.54, 6 Nb 2.68-2.75

=====

# 2
## ZrTaPt2 (SCAN)

Data for ZrTaPt2 at its PBEsol-relaxed geometry.

Properties
The magnetization is 0.0 Bohr magnetons per cell. As for the crystal system: orthorhombic.

Cell lengths 2.8448, 4.0701, 5.7305 Å; angles 90.00, 90.00, 90.00 degrees
Last column: nearest neighbours and their distance in Å.
Fractional positions:
1 Zr 0.0000 0.0000 0.0000  2 Zr 2.84, 2 Ta 2.87, 8 Pt 2.89
2 Ta 0.0000 0.0000 0.5000  8 Pt 2.84, 2 Ta 2.84, 2 Zr 2.87
3 Pt 0.5000 0.5000 0.2580  4 Pt 2.77-2.96, 4 Ta 2.84, 4 Zr 2.89
4 Pt 0.5000 0.5000 0.7420  4 Pt 2.77-2.96, 4 Ta 2.84, 4 Zr 2.89

=====

# 3
## LiCr2As (SCAN)

Data for LiCr2As at its PBEsol-relaxed geometry.

Properties
The magnetization is 0.0 Bohr magnetons per cell. As for the crystal system: orthorhombic.

Cell lengths 2.6724, 2.6724, 8.0832 Å; angles 90.00, 90.00, 110.67 degrees
Last column: nearest neighbours and their distance in Å.
Fractional positions:
1 Li 0.0000 0.0000 0.0000  2 As 2.66, 4 Li 2.67, 2 Cr 2.73
2 Cr 0.0000 0.0000 0.4859  2 Cr 2.25, 2 As 2.49
3 Cr 0.5000 0.5000 0.2811  2 Cr 2.25
4 As 0.5000 0.5000 0.7301  2 Cr 2.49, 2 Li 2.66, 4 As 2.67

=====

So what do the calculations give for calculated formation energy? Going down the list: -0.29, -0.92, 0.23 eV per atom.
So what do the calculations give for DFT total energy? Going down the list: -19.4885, -60.3366, -14.6083 eV per atom.